1.
La12Cr3N5 | PBE | relaxed

The space group is Ia-3d (No. 230) and the conventional cell measures 16.392, 16.392 and 16.392 Å, with angles of 90.00, 90.00 and 90.00 degrees. Symmetry generates all atoms from La at (0.037, 0.050, 0.648), Cr at (0.000, 0.250, 0.125), N at (0.000, 0.000, 0.000) and N at (0.000, 0.250, 0.375).



2.
LaCrN3 | PBE | relaxed

The space group is Pnma (No. 62) and the conventional cell measures 6.274, 9.784 and 5.168 Å, with angles of 90.00, 90.00 and 90.00 degrees. Symmetry generates all atoms from La at (0.000, 0.000, 0.000), Cr at (0.163, 0.250, 0.424), N at (0.067, 0.750, 0.798) and N at (0.156, 0.106, 0.600).



3.
LaCrN3 | PBE | relaxed

The space group is R-3 (No. 148, hexagonal axes) and the conventional cell measures 5.3444, 5.3444 and 15.2643 Å, with angles of 90.00, 90.00 and 120.00 degrees. Symmetry generates all atoms from La at (0.0000, 0.0000, 0.1208), Cr at (0.0000, 0.0000, 0.3539) and N at (0.0052, 0.5579, 0.9254).



4.
La2CrN4 | PBE | relaxed

The space group is I4/mmm (No. 139) and the conventional cell measures 3.800, 3.800 and 12.838 Å, with angles of 90.00, 90.00 and 90.00 degrees. Symmetry generates all atoms from La at (0.000, 0.000, 0.144), Cr at (0.000, 0.000, 0.500), N at (0.000, 0.000, 0.338) and N at (0.000, 0.500, 0.000).

Its energy above the most stable polymorph in this dataset is 0.279 eV per atom.



5.
LaCrN3 | PBE | relaxed

The space group is Amm2 (No. 38) and the conventional cell measures 3.991, 4.610 and 6.355 Å, with angles of 90.00, 90.00 and 90.00 degrees. Symmetry generates all atoms from La at (0.000, 0.000, 0.000), Cr at (0.500, 0.000, 0.382), N at (0.000, 0.000, 0.379) and N at (0.500, 0.147, 0.684).



6.
LaCrN3 | PBE | relaxed

The space group is P2_1/c (No. 14) and the conventional cell measures 7.036, 5.331 and 9.146 Å, with angles of 90.00, 128.72 and 90.00 degrees. Symmetry generates all atoms from La at (0.229, 0.232, 0.373), Cr at (0.335, 0.747, 0.144), N at (0.065, 0.573, 0.575), N at (0.283, 0.748, 0.932) and N at (0.373, 0.088, 0.699).



7.
LaCrN3 | PBE | relaxed

The space group is I-4m2 (No. 119) and the conventional cell measures 3.955, 3.955 and 17.821 Å, with angles of 90.00, 90.00 and 90.00 degrees. Symmetry generates all atoms from La at (0.000, 0.000, 0.095), Cr at (0.000, 0.000, 0.500), Cr at (0.000, 0.500, 0.250), N at (0.000, 0.162, 0.316) and N at (0.000, 0.500, 0.503).



8.
NaLa2CrN4 | PBE | relaxed

The space group is Fmm2 (No. 42) and the conventional cell measures 7.509, 9.206 and 7.444 Å, with angles of 90.00, 90.00 and 90.00 degrees. Symmetry generates all atoms from Na at (0.000, 0.000, 0.000), La at (0.250, 0.250, 0.263), Cr at (0.000, 0.000, 0.567), N at (0.000, 0.194, 0.483) and N at (0.191, 0.000, 0.703).



Theoretical density values, unit g cm⁻³, following the record order: 5.709, 4.877, 6.146, 6.912, 6.615, 5.780, 5.551, 5.277.
Energy relative to the elements, uncorrected values, unit eV/f.u., following the record order: -8.4, -3.9, -2.6, -6.3, -2.7, -3.8, -2.8, -7.0.
Raw total energy values, unit eV per atom, following the record order: -6.902, -8.691, -8.422, -8.441, -8.442, -8.671, -8.470, -7.641.